K2MnHgO4: optimized geometry, GGA+U.

a b c (Å): 6.1111 6.1111 6.1111
angles (deg): 108.63 108.63 111.17
Last column: nearest neighbours and their distance in Å.
Fractional positions:
1 K 0.0000 0.0000 0.0000  4 O 2.66
2 K 0.7500 0.2500 0.5000  4 O 2.83
3 Mn 0.2500 0.7500 0.5000  4 O 1.67
4 Hg 0.5000 0.5000 0.0000  4 O 3.11, 2 K 3.45
5 O 0.0025 0.7677 0.5512  1 Mn 1.67
6 O 0.2165 0.4513 0.4488  1 Mn 1.67
7 O 0.2323 0.7835 0.2348  1 Mn 1.67
8 O 0.5487 0.9975 0.7652  1 Mn 1.67

Summary:
VASP energy: -38.27 eV per cell
Symmetry: I-4, No. 82
Total moment: 0.125 μB per atom